# PBE K2ZnCd, optimized geometry
# - Formation energy from the elements: 0.020 eV/atom
# - Volume: 588 Å³ per cell
# - Mass density: 2.9 Mg/m³
# - DFT total energy: -1.076 eV per atom
data_K2ZnCd
_chemical_formula_sum 'K8 Zn4 Cd4'
_cell_length_a 10.954
_cell_length_b 8.480
_cell_length_c 6.333
_cell_angle_alpha 90.00
_cell_angle_beta 90.00
_cell_angle_gamma 90.00
_space_group_name_H-M_alt 'C m c m'
_space_group_IT_number 63
_space_group_name_Hall '-C 2c 2'
loop_
_atom_site_label
_atom_site_type_symbol
_atom_site_fract_x
_atom_site_fract_y
_atom_site_fract_z
K1 K 0.176 0.152 0.250
Zn1 Zn 0.000 0.500 0.000
Cd1 Cd 0.000 0.233 0.750